## Np2SbPt (GGA-PBE)

Data for a geometry-optimized Np2SbPt structure.

Computed properties:
Crystal system = tetragonal
Offset from the most stable computed form = 15 meV/atom
Formation energy without anion corrections = -282 meV per atom
Final energy = -9.293 eV per atom

Lattice parameters (Å, degrees): 4.6292 4.3570 4.3570 90.00 90.00 90.00
With the nearest neighbours (Å) after each atom.
Fractional coordinates of all 4 atoms:
Np (0.0000, 0.0000, 0.5000)  4 Np 3.08, 4 Pt 3.18, 4 Sb 3.18
Np (0.0000, 0.5000, 0.0000)  4 Np 3.08, 4 Pt 3.18, 4 Sb 3.18
Pt (0.5000, 0.5000, 0.5000)  4 Sb 3.08, 8 Np 3.18
Sb (0.5000, 0.0000, 0.0000)  4 Pt 3.08, 8 Np 3.18